No. 1
Density functional theory data (GGA-PBE) for a relaxed structure of Ta5GaB.

abc: 7.4138 7.9660 7.9955
angles: 90.00 100.43 90.00
Closest atoms and distances in Å follow each position.
Space group C2/c (No. 15)
Unique sites:
Ta 0.0000 0.1215 0.2500 (multiplicity 4)  2 B 2.22
Ta 0.1279 0.2318 0.6362 (multiplicity 8)  1 B 2.26
Ta 0.2228 0.4143 0.0279 (multiplicity 8)  1 B 2.21
Ga 0.0000 0.4603 0.2500 (multiplicity 4)  7 Ta 2.66-2.84
B 0.0000 0.0000 0.0000 (multiplicity 4)  6 Ta 2.21-2.26

- formation energy (eV/atom) = -0.1172
- total magnetization (μB per atom) = 0.00

No. 2
Density functional theory data (GGA-PBE) for a relaxed structure of TaGaB.

abc: 3.0599 4.8696 11.5882
angles: 90.00 90.00 90.00
Closest atoms and distances in Å follow each position.
Space group Immm (No. 71)
Unique sites:
Ta 0.0000 0.0000 0.1390 (multiplicity 4)  2 B 2.27
Ga 0.0000 0.0000 0.3713 (multiplicity 4)  4 B 2.29
B 0.0000 0.3288 0.0000 (multiplicity 4)  1 B 1.67

- formation energy (eV/atom) = 0.2509
- total magnetization (μB per atom) = 0.00

No. 3
Density functional theory data (GGA-PBE) for a relaxed structure of TaGaB3.

abc: 3.9490 3.9490 3.9490
angles: 90.00 90.00 90.00
Closest atoms and distances in Å follow each position.
Space group Pm-3m (No. 221)
Unique sites:
Ta 0.0000 0.0000 0.0000 (multiplicity 1)  12 B 2.79
Ga 0.5000 0.5000 0.5000 (multiplicity 1)  6 B 1.97
B 0.0000 0.5000 0.5000 (multiplicity 3)  2 Ga 1.97

- formation energy (eV/atom) = 1.7860
- distance to the lowest polymorph of the same formula (eV/f.u.) = 1.58
- total magnetization (μB per atom) = 0.00

> Among the records above, which one has the lowest formation energy?

Ta5GaB

> Which of these has the lowest formation energy?

Ta5GaB